VASP calculation (meta-GGA SCAN) on a crystal of Se2SBrO relaxed with PBEsol.

Structure (CIF):
```
data_Se2SBrO
_chemical_formula_sum 'Se2 S1 Br1 O1'
_cell_length_a 4.9185
_cell_length_b 4.7891
_cell_length_c 4.7891
_cell_angle_alpha 90.00
_cell_angle_beta 90.00
_cell_angle_gamma 90.00
_space_group_name_H-M_alt 'P 1'
_space_group_IT_number 1
loop_
_space_group_symop_operation_xyz
'x,y,z'
loop_
_atom_site_label
_atom_site_type_symbol
_atom_site_fract_x
_atom_site_fract_y
_atom_site_fract_z
_atom_site_occupancy
O1 O 0.5000 0.5000 0.5000 1
S1 S 0.0000 0.0000 0.0000 1
Se1 Se 0.0000 0.0000 0.5000 1
Se2 Se 0.0000 0.5000 0.0000 1
Br1 Br 0.5000 0.0000 0.0000 1
```

Summary:
Space-group type: P4/mmm, No. 123
Formation energy (no corrections) (kJ per mole of atoms): 103.4